(1)
A relaxed structure of SrTl2Cd. Source: Alexandria, functional GGA-PBE.

Summary:
mass density = 7.8 g/cm³
total energy = -2.035 eV/atom
energy of formation from the pure elements = -202 meV/atom
symmetry = No. 160
spin magnetization = 0.000 μB per formula unit

Unit cell a=5.1010 b=5.1010 c=6.4721 alpha=66.79 beta=66.79 gamma=60.00
With the nearest neighbours (Å) after each atom.
Sites, in units of the cell vectors:
Sr 0.4909 0.4909 0.5273  4 Cd 3.48-3.72, 7 Tl 3.51-3.83
Tl 0.0472 0.0472 0.8584  3 Cd 2.97
Tl 0.2695 0.2695 0.1916  3 Cd 3.33, 3 Tl 3.52, 3 Sr 3.52
Cd 0.6924 0.6924 0.9228  3 Tl 2.97

(2)
A relaxed structure of Li4Ti3S8. Source: Alexandria, functional GGA-PBE.

Summary:
mass density = 2.6 g/cm³
formation energy without anion corrections = -1.2945 eV per atom
total energy = -5.585 eV/atom
symmetry = No. 166
spin magnetization = 0.000 μB per formula unit

Unit cell a=7.0445 b=7.0445 c=7.6041 alpha=62.41 beta=62.41 gamma=60.00
With the nearest neighbours (Å) after each atom.
Sites, in units of the cell vectors:
Li 0.0000 0.0000 0.0000  6 S 2.66
Li 0.3630 0.3630 0.9109  4 S 2.41-2.46, 1 Li 2.64
Li 0.5000 0.5000 0.5000  6 S 2.54, 2 Li 2.64
Li 0.6370 0.6370 0.0891  4 S 2.41-2.46, 1 Li 2.64
Ti 0.5000 0.0000 0.5000  6 S 2.44-2.46
Ti 0.0000 0.0000 0.5000  6 S 2.44-2.46
Ti 0.0000 0.5000 0.5000  6 S 2.44-2.46
S 0.2383 0.2383 0.2852  1 Li 2.41, 3 Ti 2.46
S 0.2252 0.7465 0.2818  2 Ti 2.44, 3 Li 2.46-2.66
S 0.7465 0.7465 0.2818  2 Ti 2.44, 3 Li 2.46-2.66
S 0.7465 0.2252 0.2818  2 Ti 2.44, 3 Li 2.46-2.66
S 0.7617 0.7617 0.7148  1 Li 2.41, 3 Ti 2.46
S 0.7748 0.2535 0.7182  2 Ti 2.44, 3 Li 2.46-2.66
S 0.2535 0.2535 0.7182  2 Ti 2.44, 3 Li 2.46-2.66
S 0.2535 0.7748 0.7182  2 Ti 2.44, 3 Li 2.46-2.66